No. 1
Compound: CaCdSb
Source: Alexandria
Functional: PBE
Structure: optimized geometry

Results
The value obtained for the density of states at the Fermi level is 1.4 states/eV per cell. The calculation puts the excess energy over the best structure of this formula in the dataset at 12.2 kJ/mol of atoms. Its size of the total moment is 0.0 μB/cell.

The structure in POSCAR format:
```
CaCdSb
1.0
-2.7091 1.5197 3.5350
-1.9073 -2.4326 -3.5482
0.7585 -3.8680 2.2442
Cd Ca Sb
1 1 1
Cartesian
-2.1455 -1.3091 2.0508
0.0055 -0.0282 0.0164
-1.7180 -3.4436 0.1638
```

No. 2
Compound: BeAgSb
Source: Alexandria
Functional: PBE
Structure: optimized geometry

Results
As for the electronic total energy: -3.38 eV per atom. The value obtained for the density of states at the Fermi level is 1.7 states/eV per cell. Its size of the total moment is 0.0 μB/cell.

The structure in POSCAR format:
```
BeAgSb
1.0
-0.2754 6.8387 -4.0740
-0.9925 -2.0686 -3.3943
-4.0291 -1.2707 -0.5100
Ag Be Sb
2 2 2
Cartesian
-0.7971 1.8319 -1.8835
-1.4379 4.2207 -5.6193
-0.9996 4.0369 -3.1659
-0.5876 -0.3823 -0.6005
-2.6314 2.2731 -4.0868
-3.9803 -1.9469 -3.5879
```

No. 3
Compound: Dy4GaAg2Hg
Source: Alexandria
Functional: PBE
Structure: optimized geometry

Results
The value obtained for the density of states at the Fermi level is 5.3 states/eV per cell. For the energy of formation from the pure elements, the calculation gives -0.431 eV/atom. Its size of the total moment is 0.0 μB/cell.

The structure in POSCAR format:
```
Dy4GaAg2Hg
1.0
-0.2596 -2.5463 -4.4745
3.3585 -3.7766 -1.0150
-4.2073 -7.7056 1.6598
Dy Ag Hg Ga
4 2 1 1
Cartesian
1.0991 -8.4593 -4.1578
-2.4844 -9.0762 -0.6295
1.3760 -4.9523 -3.2003
-2.2075 -5.5693 0.3281
-0.8446 -10.5356 -2.8635
-0.2638 -3.4929 -0.9663
0.0000 0.0000 0.0000
-0.5542 -7.0143 -1.9149
```

No. 4
Compound: Sb2As
Source: Alexandria
Functional: PBE
Structure: optimized geometry

Results
The value obtained for the density of states at the Fermi level is 5.8 states/eV per cell. The calculation puts the excess energy over the best structure of this formula in the dataset at 61.2 kJ/mol of atoms. Its size of the total moment is 0.0 μB/cell.

The structure in POSCAR format:
```
Sb2As
1.0
-4.9458 -0.8494 3.5055
-1.4191 4.0851 4.3323
-4.8940 3.6126 -0.6849
Sb As
4 2
Cartesian
-1.4074 0.8560 0.8941
-3.8803 0.4313 2.6468
-2.1169 2.8986 3.0603
-3.8544 2.6623 0.5517
-5.6294 3.4241 3.5765
-8.4442 5.1362 5.3647
```

No. 5
Compound: Sr3InPb
Source: Alexandria
Functional: PBE
Structure: optimized geometry

Results
The value obtained for the density of states at the Fermi level is 5.8 states/eV per cell. The calculation puts the excess energy over the best structure of this formula in the dataset at 0.0 kJ/mol of atoms. For the energy of formation from the pure elements, the calculation gives -0.353 eV/atom. Its size of the total moment is 0.6 μB/cell.

The structure in POSCAR format:
```
Sr3InPb
1.0
-1.3870 -4.8132 -1.4010
-1.4275 -1.6576 7.1076
-9.7588 3.3782 -1.9432
Sr Pb In
6 2 2
Cartesian
-7.5793 -1.3185 1.5478
-4.3253 -2.8463 3.5746
-9.1687 1.2064 4.0996
-3.7462 0.5599 0.9547
-6.5282 -0.6211 -1.8889
-10.6179 0.4101 -1.3841
-5.7678 0.1911 4.2221
-7.8874 1.9424 0.3048
-10.9898 -0.4829 2.0495
-1.2913 -0.8272 3.2850
```

No. 6
Compound: ScS4
Source: Alexandria
Functional: PBE
Structure: optimized geometry

Results
The value obtained for the density of states at the Fermi level is 1.6 states/eV per cell. The calculation puts the excess energy over the best structure of this formula in the dataset at 0.0 kJ/mol of atoms. Its size of the total moment is 0.0 μB/cell.

The structure in POSCAR format:
```
ScS4
1.0
4.9114 0.3286 -0.1857
2.4819 3.4150 0.2523
-1.0493 0.5636 6.5027
S Sc
4 1
Cartesian
2.7881 3.5539 2.9661
1.3674 1.5610 5.6518
3.5558 0.7533 3.6032
4.9765 2.7462 0.9175
0.0000 0.0000 0.0000
```

No. 7
Compound: ErMnBeSi2
Source: Alexandria
Functional: PBE
Structure: optimized geometry

Results
As for the electronic total energy: -6.17 eV per atom. The value obtained for the density of states at the Fermi level is 2.1 states/eV per cell. Its size of the total moment is 2.6 μB/cell.

The structure in POSCAR format:
```
ErMnBeSi2
1.0
-0.2688 0.3445 -3.8039
0.7236 -3.7397 -0.3898
-5.2674 0.6947 2.3621
Si Mn Be Er
2 1 1 1
Cartesian
-0.9540 -1.9327 -2.0347
-3.8585 -0.7678 0.2031
-2.6544 -0.3292 -1.7693
-2.1582 -2.3713 -0.0623
0.0000 0.0000 0.0000
```

No. 8
Compound: Rb2MnVZn
Source: Alexandria
Functional: PBE
Structure: optimized geometry

Results
The value obtained for the density of states at the Fermi level is 6.4 states/eV per cell. For the energy of formation from the pure elements, the calculation gives 1.230 eV/atom. Its size of the total moment is 0.2 μB/cell.

The structure in POSCAR format:
```
Rb2MnVZn
1.0
-5.5444 -3.9437 -1.0691
0.7890 -2.0180 3.3522
-3.8525 4.4450 3.5827
V Rb Zn Mn
1 2 1 1
Cartesian
0.0000 0.0000 0.0000
-1.9263 2.2225 1.7913
-2.7722 -1.9718 -0.5346
-4.3039 -0.7584 2.9329
0.3945 -1.0090 1.6761
```

No. 9
Compound: Ca2Zn2Cd
Source: Alexandria
Functional: PBE
Structure: optimized geometry

Results
The value obtained for the density of states at the Fermi level is 5.2 states/eV per cell. The calculation puts the excess energy over the best structure of this formula in the dataset at 22.8 kJ/mol of atoms. For the energy of formation from the pure elements, the calculation gives -0.053 eV/atom. Its size of the total moment is 0.0 μB/cell.

The structure in POSCAR format:
```
Ca2Zn2Cd
1.0
-0.1456 6.3500 5.7799
-8.5194 -0.8289 0.6961
0.4559 -2.4319 2.6833
Zn Cd Ca
4 2 4
Cartesian
-0.9285 1.0300 3.5737
-3.0560 4.0051 6.6315
-7.2806 2.0591 5.5856
-5.1531 -0.9160 2.5278
-4.3325 2.7605 3.2380
0.0000 0.0000 0.0000
-2.9076 0.7447 1.1689
-5.7573 4.7764 5.3071
-7.1931 1.4546 2.5404
-1.4719 4.0664 3.9356
```

No. 10
Compound: TbPm2C2I2
Source: Alexandria
Functional: PBE
Structure: optimized geometry

Results
As for the electronic total energy: -5.56 eV per atom. The value obtained for the density of states at the Fermi level is 2.0 states/eV per cell. Its size of the total moment is 0.0 μB/cell.

The structure in POSCAR format:
```
TbPm2C2I2
1.0
4.5181 0.0000 0.0000
0.0000 4.5181 0.0000
-2.2591 -2.2591 9.8287
Pm I Tb C
2 2 1 2
Cartesian
0.0000 0.0000 8.2753
2.2591 2.2591 1.5534
2.2591 2.2591 6.5961
0.0000 0.0000 3.2326
0.0000 0.0000 0.0000
0.0000 2.2591 0.0000
2.2591 0.0000 0.0000
```

No. 11
Compound: HfZnTeI2
Source: Alexandria
Functional: PBE
Structure: optimized geometry

Results
The value obtained for the density of states at the Fermi level is 4.1 states/eV per cell. The calculation puts the excess energy over the best structure of this formula in the dataset at 69.8 kJ/mol of atoms. Its size of the total moment is 0.7 μB/cell.

The structure in POSCAR format:
```
HfZnTeI2
1.0
5.3113 0.0000 0.0000
0.0000 5.3113 0.0000
0.0000 0.0000 5.4502
Te I Hf Zn
1 2 1 1
Cartesian
0.0000 0.0000 2.7251
0.0000 2.6557 0.0000
2.6557 0.0000 0.0000
2.6557 2.6557 2.7251
0.0000 0.0000 0.0000
```

No. 12
Compound: TlSi2Rh2
Source: Alexandria
Functional: PBE
Structure: optimized geometry

Results
The value obtained for the density of states at the Fermi level is 4.8 states/eV per cell. The calculation puts the excess energy over the best structure of this formula in the dataset at 23.9 kJ/mol of atoms. Its size of the total moment is 0.0 μB/cell.

The structure in POSCAR format:
```
TlSi2Rh2
1.0
-3.3752 -6.7387 0.0122
2.3322 -1.1810 -7.0689
2.3715 -1.1861 0.9806
Rh Si Tl
4 4 2
Cartesian
1.0184 -5.9339 -5.5652
0.3100 -3.1718 -0.5109
2.2035 -2.3101 -4.0480
-0.8750 -6.7957 -2.0281
0.7867 -3.4707 -6.1008
-1.4311 -6.5716 -4.4875
-1.8298 -4.4489 -0.9558
0.3881 -1.3481 -2.5692
-0.5215 -3.9598 -3.5283
0.0000 0.0000 0.0000
```